The following is a PBE-GGA calculation of a geometry-optimized Ce3Ho2Sb3 structure, from Alexandria.

Output
Fermi-level density of states = 3.1395 states/eV per atom
space-group type = P6_3/mcm, No. 193
E = -5.717 eV per atom
calculated volume = 28.88 A^3/atom

a b c (Å): 6.4077 9.1247 9.1247
angles (deg): 120.00 90.00 90.00
Fractional coordinates of all 16 atoms:
Ce (0.7500, 0.2459, 0.0000)
Ce (0.7500, 0.7541, 0.7541)
Ce (0.7500, 0.0000, 0.2459)
Ce (0.2500, 0.7541, 0.0000)
Ce (0.2500, 0.2459, 0.2459)
Ce (0.2500, 0.0000, 0.7541)
Ho (0.0000, 0.3333, 0.6667)
Ho (0.5000, 0.6667, 0.3333)
Ho (0.0000, 0.6667, 0.3333)
Ho (0.5000, 0.3333, 0.6667)
Sb (0.7500, 0.6058, 0.0000)
Sb (0.7500, 0.3942, 0.3942)
Sb (0.7500, 0.0000, 0.6058)
Sb (0.2500, 0.3942, 0.0000)
Sb (0.2500, 0.6058, 0.6058)
Sb (0.2500, 0.0000, 0.3942)